TbDy2Y2Th: relaxed, PBE.

Cell lengths 5.0454, 10.6949, 7.1184 Å; angles 90.00, 90.00, 90.00 degrees
Closest atoms and distances in Å follow each position.
Space group Pmc2_1 (No. 26)
Unique sites:
Tb1 0.0000 0.9995 0.0000 (multiplicity 2)  5 Dy 3.52-3.55, 1 Y 3.54, 2 Tb 3.56, 4 Th 3.57-3.58
Dy1 0.0000 0.3299 0.4950 (multiplicity 2)  7 Y 3.48-3.64, 2 Th 3.51, 1 Tb 3.52, 2 Dy 3.58
Dy2 0.5000 0.1639 0.7498 (multiplicity 2)  4 Tb 3.55, 3 Th 3.55-3.57, 2 Dy 3.58, 3 Y 3.59-3.60
Y1 0.0000 0.3308 0.0068 (multiplicity 2)  5 Dy 3.48-3.64, 2 Th 3.52, 1 Tb 3.54, 4 Y 3.56-3.60
Y2 0.5000 0.4996 0.2512 (multiplicity 2)  1 Th 3.54, 6 Y 3.56-3.60, 5 Dy 3.56-3.61
Th1 0.5000 0.1684 0.2516 (multiplicity 2)  5 Dy 3.51-3.57, 3 Y 3.52-3.54, 4 Tb 3.57-3.58

Formation enthalpy at 0 K (eV per atom): 0.034
Electronic total energy (eV for the cell shown): -67.95

***

Rb8SbAu2: relaxed, PBE.

Cell lengths 10.9888, 15.9159, 6.6778 Å; angles 90.00, 104.70, 90.00 degrees
Closest atoms and distances in Å follow each position.
Space group C2/m (No. 12)
Unique sites:
Rb1 0.0000 0.2346 0.0000 (multiplicity 4)  2 Au 3.59, 1 Sb 3.73
Rb2 0.1419 0.5000 0.8120 (multiplicity 4)  2 Au 3.69, 1 Sb 3.82
Rb3 0.1847 0.1261 0.5818 (multiplicity 8)  2 Au 3.61-3.75, 2 Rb 3.93-4.02
Sb1 0.0000 0.0000 0.0000 (multiplicity 2)  4 Rb 3.73-3.82
Au1 0.0000 0.3166 0.5000 (multiplicity 4)  8 Rb 3.59-3.75

Uncorrected formation energy (eV/atom): -0.184
Electronic total energy (eV for the cell shown): -40.89

***

YP2CS: relaxed, PBE.

Cell lengths 5.3419, 5.3419, 5.1375 Å; angles 90.00, 90.00, 90.00 degrees
Closest atoms and distances in Å follow each position.
Space group P4/mmm (No. 123)
Unique sites:
Y1 0.0000 0.0000 0.0000 (multiplicity 1)  2 S 2.57, 4 P 2.67
P1 0.0000 0.5000 0.0000 (multiplicity 2)  2 Y 2.67
C1 0.5000 0.5000 0.5000 (multiplicity 1)  8 P 3.71, 4 S 3.78
S1 0.0000 0.0000 0.5000 (multiplicity 1)  2 Y 2.57

Uncorrected formation energy (eV/atom): 1.882
ΔE to the lowest computed polymorph (kcal/mol of atoms): 37.534
Electronic total energy (eV for the cell shown): -21.23

***

Y3Tl3InS8: relaxed, PBE.

Cell lengths 7.9939, 7.9939, 22.0209 Å; angles 90.00, 90.00, 120.00 degrees
Closest atoms and distances in Å follow each position.
Space group R-3m (No. 166, hexagonal axes)
Unique sites:
Y1 0.0000 0.5000 0.0000 (multiplicity 9)  6 S 2.75-2.76
Tl1 0.0000 0.5000 0.5000 (multiplicity 9)  6 S 3.17
In1 0.0000 0.0000 0.0000 (multiplicity 3)  6 S 2.68
S1 0.0000 0.0000 0.2655 (multiplicity 6)  3 Y 2.75
S2 0.0083 0.5041 0.7332 (multiplicity 18)  1 In 2.68, 2 Y 2.76

Uncorrected formation energy (eV/atom): -1.221
Electronic total energy (eV for the cell shown): -241.69

***

Na2SnCl2: relaxed, PBE.

Cell lengths 4.8818, 4.8818, 13.6792 Å; angles 90.00, 90.00, 90.00 degrees
Closest atoms and distances in Å follow each position.
Space group I4/mmm (No. 139)
Unique sites:
Na1 0.0000 0.5000 0.2500 (multiplicity 4)  4 Cl 2.70
Sn1 0.0000 0.0000 0.0000 (multiplicity 2)  10 Cl 4.13-4.57, 8 Na 4.20
Cl1 0.0000 0.0000 0.3344 (multiplicity 4)  4 Na 2.70

Uncorrected formation energy (eV/atom): -0.812
ΔE to the lowest computed polymorph (kcal/mol of atoms): 3.492
Electronic total energy (eV for the cell shown): -28.79

***

KYRu2: relaxed, PBE.

Cell lengths 4.3120, 4.3120, 8.8810 Å; angles 90.00, 90.00, 90.00 degrees
Closest atoms and distances in Å follow each position.
Space group I4/mmm (No. 139)
Unique sites:
K1 0.0000 0.0000 0.0000 (multiplicity 2)  4 Y 3.05, 8 Ru 3.09
Y1 0.0000 0.0000 0.5000 (multiplicity 2)  4 K 3.05, 8 Ru 3.09
Ru1 0.0000 0.5000 0.2500 (multiplicity 4)  4 Ru 3.05, 4 K 3.09, 4 Y 3.09

ΔE to the lowest computed polymorph (kcal/mol of atoms): 14.849
Formation enthalpy at 0 K (eV per atom): 0.967
Electronic total energy (eV for the cell shown): -44.49

***

CdAgSb2: relaxed, PBE.

Cell lengths 8.2022, 3.3544, 7.3557 Å; angles 90.00, 98.45, 90.00 degrees
Closest atoms and distances in Å follow each position.
Space group C2/m (No. 12)
Unique sites:
Cd1 0.0000 0.0000 0.0000 (multiplicity 2)  6 Sb 3.01-3.15, 2 Cd 3.35
Ag1 0.0000 0.5000 0.5000 (multiplicity 2)  6 Sb 2.90-2.95
Sb1 0.2436 0.0000 0.7322 (multiplicity 4)  3 Ag 2.90-2.95, 3 Cd 3.01-3.15

Uncorrected formation energy (eV/atom): 0.114
ΔE to the lowest computed polymorph (kcal/mol of atoms): 0.826
Electronic total energy (eV for the cell shown): -23.11

***

TbPmTm: relaxed, PBE.

Cell lengths 3.5674, 3.5674, 15.1284 Å; angles 90.00, 90.00, 90.00 degrees
Closest atoms and distances in Å follow each position.
Space group I4mm (No. 107)
Unique sites:
Tb1 0.0000 0.0000 0.0000 (multiplicity 2)  4 Tm 3.53, 4 Tb 3.57, 4 Pm 3.60
Pm1 0.0000 0.0000 0.3304 (multiplicity 2)  4 Pm 3.57, 4 Tm 3.57, 4 Tb 3.60
Tm1 0.0000 0.0000 0.6635 (multiplicity 2)  4 Tb 3.53, 4 Tm 3.57, 4 Pm 3.57

ΔE to the lowest computed polymorph (kcal/mol of atoms): 0.079
Formation enthalpy at 0 K (eV per atom): 0.023
Electronic total energy (eV for the cell shown): -27.57